[1]
A relaxed Ag2GePdRh crystal, computed with GGA-PBE.

```
data_Ag2GePdRh
_symmetry_space_group_name_H-M 'P 1'
_symmetry_Int_Tables_number 1
_symmetry_space_group_name_Hall 'P 1'
_cell_length_a 5.003
_cell_length_b 4.537
_cell_length_c 5.003
_cell_angle_alpha 90.00
_cell_angle_beta 90.00
_cell_angle_gamma 90.00
loop_
_atom_site_label
_atom_site_type_symbol
_atom_site_fract_x
_atom_site_fract_y
_atom_site_fract_z
_atom_site_occupancy
Ge1 Ge 0.000 0.500 0.000 1
Ag1 Ag 0.000 0.000 0.500 1
Ag2 Ag 0.500 0.000 0.000 1
Rh1 Rh 0.500 0.500 0.500 1
Pd1 Pd 0.000 0.000 0.000 1
```

Space-group type   P4/mmm



[2]
A relaxed Na2TlPbS4 crystal, computed with GGA-PBE.

```
data_Na2TlPbS4
_symmetry_space_group_name_H-M 'P 1'
_symmetry_Int_Tables_number 1
_symmetry_space_group_name_Hall 'P 1'
_cell_length_a 3.987
_cell_length_b 6.945
_cell_length_c 7.178
_cell_angle_alpha 108.90
_cell_angle_beta 90.00
_cell_angle_gamma 90.00
loop_
_atom_site_label
_atom_site_type_symbol
_atom_site_fract_x
_atom_site_fract_y
_atom_site_fract_z
_atom_site_occupancy
S1 S 0.000 0.247 0.762 1
S2 S 0.500 0.765 0.770 1
S3 S 0.500 0.235 0.230 1
S4 S 0.000 0.753 0.238 1
Tl1 Tl 0.000 0.000 0.000 1
Pb1 Pb 0.500 0.500 0.000 1
Na1 Na 0.000 0.500 0.500 1
Na2 Na 0.500 0.000 0.500 1
```

Space-group type   P2/m
Raw formation energy   -0.55 eV per atom



[3]
A relaxed K4Rb2Br5 crystal, computed with GGA-PBE.

```
data_K4Rb2Br5
_symmetry_space_group_name_H-M 'P 1'
_symmetry_Int_Tables_number 1
_symmetry_space_group_name_Hall 'P 1'
_cell_length_a 4.988
_cell_length_b 4.988
_cell_length_c 25.496
_cell_angle_alpha 84.39
_cell_angle_beta 84.39
_cell_angle_gamma 60.00
loop_
_atom_site_label
_atom_site_type_symbol
_atom_site_fract_x
_atom_site_fract_y
_atom_site_fract_z
_atom_site_occupancy
K1 K 0.577 0.577 0.270 1
K2 K 0.304 0.304 0.088 1
K3 K 0.423 0.423 0.730 1
K4 K 0.696 0.696 0.912 1
Br1 Br 0.778 0.778 0.665 1
Br2 Br 0.222 0.222 0.335 1
Br3 Br 0.382 0.382 0.853 1
Br4 Br 0.500 0.500 0.500 1
Br5 Br 0.618 0.618 0.147 1
Rb1 Rb 0.140 0.140 0.579 1
Rb2 Rb 0.860 0.860 0.421 1
```

Space-group type   R-3m
Raw formation energy   -1.51 eV per atom



[4]
A relaxed CuAg3W crystal, computed with GGA-PBE.

```
data_CuAg3W
_symmetry_space_group_name_H-M 'P 1'
_symmetry_Int_Tables_number 1
_symmetry_space_group_name_Hall 'P 1'
_cell_length_a 4.615
_cell_length_b 4.615
_cell_length_c 4.615
_cell_angle_alpha 90.00
_cell_angle_beta 90.00
_cell_angle_gamma 90.00
loop_
_atom_site_label
_atom_site_type_symbol
_atom_site_fract_x
_atom_site_fract_y
_atom_site_fract_z
_atom_site_occupancy
Ag1 Ag 0.000 0.000 0.500 1
Ag2 Ag 0.500 0.000 0.000 1
Ag3 Ag 0.000 0.500 0.000 1
Cu1 Cu 0.000 0.000 0.000 1
W1 W 0.500 0.500 0.500 1
```

Space-group type   Pm-3m



[5]
A relaxed NaPu2Au3 crystal, computed with GGA-PBE.

```
data_NaPu2Au3
_symmetry_space_group_name_H-M 'P 1'
_symmetry_Int_Tables_number 1
_symmetry_space_group_name_Hall 'P 1'
_cell_length_a 3.454
_cell_length_b 3.454
_cell_length_c 11.746
_cell_angle_alpha 90.00
_cell_angle_beta 90.00
_cell_angle_gamma 90.00
loop_
_atom_site_label
_atom_site_type_symbol
_atom_site_fract_x
_atom_site_fract_y
_atom_site_fract_z
_atom_site_occupancy
Pu1 Pu 0.500 0.500 0.171 1
Pu2 Pu 0.500 0.500 0.829 1
Au1 Au 0.000 0.000 0.667 1
Au2 Au 0.000 0.000 0.000 1
Au3 Au 0.000 0.000 0.333 1
Na1 Na 0.500 0.500 0.500 1
```

Space-group type   P4/mmm



[6]
A relaxed TaTe8 crystal, computed with GGA-PBE.

```
data_TaTe8
_symmetry_space_group_name_H-M 'P 1'
_symmetry_Int_Tables_number 1
_symmetry_space_group_name_Hall 'P 1'
_cell_length_a 8.300
_cell_length_b 8.300
_cell_length_c 8.300
_cell_angle_alpha 94.78
_cell_angle_beta 94.78
_cell_angle_gamma 146.43
loop_
_atom_site_label
_atom_site_type_symbol
_atom_site_fract_x
_atom_site_fract_y
_atom_site_fract_z
_atom_site_occupancy
Te1 Te 0.747 0.000 0.747 1
Te2 Te 0.651 0.651 0.302 1
Te3 Te 0.651 0.349 0.000 1
Te4 Te 0.000 0.253 0.253 1
Te5 Te 0.349 0.349 0.698 1
Te6 Te 0.000 0.747 0.747 1
Te7 Te 0.253 0.000 0.253 1
Te8 Te 0.349 0.651 0.000 1
Ta1 Ta 0.000 0.000 0.000 1
```

Space-group type   I4/mmm
Raw formation energy   0.25 eV per atom



[7]
A relaxed UIn2BiO8 crystal, computed with GGA-PBE.

```
data_UIn2BiO8
_symmetry_space_group_name_H-M 'P 1'
_symmetry_Int_Tables_number 1
_symmetry_space_group_name_Hall 'P 1'
_cell_length_a 5.005
_cell_length_b 5.005
_cell_length_c 6.921
_cell_angle_alpha 90.00
_cell_angle_beta 90.00
_cell_angle_gamma 91.32
loop_
_atom_site_label
_atom_site_type_symbol
_atom_site_fract_x
_atom_site_fract_y
_atom_site_fract_z
_atom_site_occupancy
O1 O 0.686 0.687 0.500 1
O2 O 0.314 0.313 0.500 1
O3 O 0.809 0.193 0.231 1
O4 O 0.191 0.807 0.231 1
O5 O 0.700 0.701 0.000 1
O6 O 0.191 0.807 0.769 1
O7 O 0.300 0.299 0.000 1
O8 O 0.809 0.193 0.769 1
In1 In 0.500 0.500 0.248 1
In2 In 0.500 0.500 0.752 1
U1 U 0.000 0.000 0.000 1
Bi1 Bi 0.000 0.000 0.500 1
```

Space-group type   Cmmm
Raw formation energy   -1.90 eV per atom



[8]
A relaxed PaB2Mo crystal, computed with GGA-PBE.

```
data_PaB2Mo
_symmetry_space_group_name_H-M 'P 1'
_symmetry_Int_Tables_number 1
_symmetry_space_group_name_Hall 'P 1'
_cell_length_a 5.409
_cell_length_b 5.916
_cell_length_c 6.642
_cell_angle_alpha 90.00
_cell_angle_beta 90.00
_cell_angle_gamma 90.00
loop_
_atom_site_label
_atom_site_type_symbol
_atom_site_fract_x
_atom_site_fract_y
_atom_site_fract_z
_atom_site_occupancy
Pa1 Pa 0.250 0.002 0.660 1
Pa2 Pa 0.250 0.502 0.840 1
Pa3 Pa 0.750 0.998 0.340 1
Pa4 Pa 0.750 0.498 0.160 1
B1 B 0.583 0.629 0.532 1
B2 B 0.083 0.871 0.032 1
B3 B 0.417 0.371 0.468 1
B4 B 0.083 0.371 0.468 1
B5 B 0.917 0.629 0.532 1
B6 B 0.583 0.129 0.968 1
B7 B 0.917 0.129 0.968 1
B8 B 0.417 0.871 0.032 1
Mo1 Mo 0.250 0.188 0.188 1
Mo2 Mo 0.750 0.812 0.812 1
Mo3 Mo 0.750 0.312 0.688 1
Mo4 Mo 0.250 0.688 0.312 1
```

Space-group type   Pnma



[9]
A relaxed MgPaH4 crystal, computed with GGA-PBE.

```
data_MgPaH4
_symmetry_space_group_name_H-M 'P 1'
_symmetry_Int_Tables_number 1
_symmetry_space_group_name_Hall 'P 1'
_cell_length_a 3.344
_cell_length_b 3.345
_cell_length_c 5.341
_cell_angle_alpha 90.00
_cell_angle_beta 90.00
_cell_angle_gamma 90.00
loop_
_atom_site_label
_atom_site_type_symbol
_atom_site_fract_x
_atom_site_fract_y
_atom_site_fract_z
_atom_site_occupancy
H1 H 0.501 0.997 0.724 1
H2 H 0.501 0.997 0.273 1
H3 H 0.001 0.497 0.724 1
H4 H 0.001 0.497 0.272 1
Pa1 Pa 0.501 0.497 0.998 1
Mg1 Mg 0.001 0.997 0.498 1
```

Space-group type   P4/mmm



[10]
A relaxed La2TiSi4Ir3 crystal, computed with GGA-PBE.

```
data_La2TiSi4Ir3
_symmetry_space_group_name_H-M 'P 1'
_symmetry_Int_Tables_number 1
_symmetry_space_group_name_Hall 'P 1'
_cell_length_a 4.200
_cell_length_b 4.200
_cell_length_c 10.397
_cell_angle_alpha 90.00
_cell_angle_beta 90.00
_cell_angle_gamma 90.00
loop_
_atom_site_label
_atom_site_type_symbol
_atom_site_fract_x
_atom_site_fract_y
_atom_site_fract_z
_atom_site_occupancy
La1 La 0.000 0.500 0.758 1
La2 La 0.500 0.000 0.242 1
Si1 Si 0.000 0.000 0.000 1
Si2 Si 0.500 0.000 0.641 1
Si3 Si 0.000 0.500 0.359 1
Si4 Si 0.500 0.500 0.000 1
Ir1 Ir 0.500 0.000 0.880 1
Ir2 Ir 0.000 0.500 0.120 1
Ir3 Ir 0.000 0.000 0.500 1
Ti1 Ti 0.500 0.500 0.500 1
```

Space-group type   P-4m2
Raw formation energy   -0.93 eV per atom



[11]
A relaxed CaTa2HgPd crystal, computed with GGA-PBE.

```
data_CaTa2HgPd
_symmetry_space_group_name_H-M 'P 1'
_symmetry_Int_Tables_number 1
_symmetry_space_group_name_Hall 'P 1'
_cell_length_a 4.894
_cell_length_b 5.353
_cell_length_c 4.894
_cell_angle_alpha 90.00
_cell_angle_beta 90.00
_cell_angle_gamma 90.00
loop_
_atom_site_label
_atom_site_type_symbol
_atom_site_fract_x
_atom_site_fract_y
_atom_site_fract_z
_atom_site_occupancy
Ta1 Ta 0.500 0.000 0.000 1
Ta2 Ta 0.000 0.000 0.500 1
Pd1 Pd 0.000 0.000 0.000 1
Ca1 Ca 0.000 0.500 0.000 1
Hg1 Hg 0.500 0.500 0.500 1
```

Space-group type   P4/mmm



[12]
A relaxed Tm8Os2Rh crystal, computed with GGA-PBE.

```
data_Tm8Os2Rh
_symmetry_space_group_name_H-M 'P 1'
_symmetry_Int_Tables_number 1
_symmetry_space_group_name_Hall 'P 1'
_cell_length_a 5.644
_cell_length_b 7.471
_cell_length_c 7.471
_cell_angle_alpha 112.11
_cell_angle_beta 100.06
_cell_angle_gamma 100.06
loop_
_atom_site_label
_atom_site_type_symbol
_atom_site_fract_x
_atom_site_fract_y
_atom_site_fract_z
_atom_site_occupancy
Tm1 Tm 0.587 0.337 0.077 1
Tm2 Tm 0.993 0.219 0.784 1
Tm3 Tm 0.804 0.641 0.641 1
Tm4 Tm 0.393 0.930 0.670 1
Tm5 Tm 0.993 0.784 0.219 1
Tm6 Tm 0.185 0.366 0.366 1
Tm7 Tm 0.393 0.670 0.930 1
Tm8 Tm 0.587 0.077 0.337 1
Rh1 Rh 0.073 0.002 0.002 1
Os1 Os 0.496 0.316 0.693 1
Os2 Os 0.496 0.693 0.316 1
```

Space-group type   Cm



[13]
A relaxed Na4TeAu crystal, computed with GGA-PBE.

```
data_Na4TeAu
_symmetry_space_group_name_H-M 'P 1'
_symmetry_Int_Tables_number 1
_symmetry_space_group_name_Hall 'P 1'
_cell_length_a 5.456
_cell_length_b 8.237
_cell_length_c 8.980
_cell_angle_alpha 117.30
_cell_angle_beta 107.64
_cell_angle_gamma 90.00
loop_
_atom_site_label
_atom_site_type_symbol
_atom_site_fract_x
_atom_site_fract_y
_atom_site_fract_z
_atom_site_occupancy
Na1 Na 0.000 0.186 0.000 1
Na2 Na 0.821 0.320 0.641 1
Na3 Na 0.179 0.680 0.359 1
Na4 Na 0.367 0.120 0.734 1
Na5 Na 0.367 0.614 0.734 1
Na6 Na 0.633 0.880 0.266 1
Na7 Na 0.633 0.386 0.266 1
Na8 Na 0.000 0.814 0.000 1
Au1 Au 0.746 0.500 0.000 1
Au2 Au 0.254 0.500 0.000 1
Te1 Te 0.806 0.807 0.614 1
Te2 Te 0.194 0.193 0.386 1
```

Space-group type   C2/m
Raw formation energy   -0.53 eV per atom



[14]
A relaxed SiGeBiPb2 crystal, computed with GGA-PBE.

```
data_SiGeBiPb2
_symmetry_space_group_name_H-M 'P 1'
_symmetry_Int_Tables_number 1
_symmetry_space_group_name_Hall 'P 1'
_cell_length_a 5.974
_cell_length_b 5.384
_cell_length_c 5.974
_cell_angle_alpha 90.00
_cell_angle_beta 90.00
_cell_angle_gamma 90.00
loop_
_atom_site_label
_atom_site_type_symbol
_atom_site_fract_x
_atom_site_fract_y
_atom_site_fract_z
_atom_site_occupancy
Bi1 Bi 0.000 0.000 0.000 1
Pb1 Pb 0.500 0.000 0.000 1
Pb2 Pb 0.000 0.000 0.500 1
Ge1 Ge 0.500 0.500 0.500 1
Si1 Si 0.000 0.500 0.000 1
```

Space-group type   P4/mmm
Raw formation energy   1.10 eV per atom



[15]
A relaxed YCo2Au crystal, computed with GGA-PBE.

```
data_YCo2Au
_symmetry_space_group_name_H-M 'P 1'
_symmetry_Int_Tables_number 1
_symmetry_space_group_name_Hall 'P 1'
_cell_length_a 4.623
_cell_length_b 4.623
_cell_length_c 4.828
_cell_angle_alpha 68.73
_cell_angle_beta 68.73
_cell_angle_gamma 51.44
loop_
_atom_site_label
_atom_site_type_symbol
_atom_site_fract_x
_atom_site_fract_y
_atom_site_fract_z
_atom_site_occupancy
Au1 Au 0.250 0.250 0.250 1
Co1 Co 0.532 0.532 0.341 1
Co2 Co 0.968 0.968 0.159 1
Y1 Y 0.750 0.750 0.750 1
```

Space-group type   C2/m



[16]
A relaxed BaNa2H6 crystal, computed with GGA-PBE.

```
data_BaNa2H6
_symmetry_space_group_name_H-M 'P 1'
_symmetry_Int_Tables_number 1
_symmetry_space_group_name_Hall 'P 1'
_cell_length_a 5.670
_cell_length_b 5.670
_cell_length_c 5.670
_cell_angle_alpha 60.00
_cell_angle_beta 60.00
_cell_angle_gamma 60.00
loop_
_atom_site_label
_atom_site_type_symbol
_atom_site_fract_x
_atom_site_fract_y
_atom_site_fract_z
_atom_site_occupancy
H1 H 0.312 0.688 0.312 1
H2 H 0.688 0.688 0.312 1
H3 H 0.688 0.312 0.688 1
H4 H 0.688 0.312 0.312 1
H5 H 0.312 0.312 0.688 1
H6 H 0.312 0.688 0.688 1
Na1 Na 0.250 0.250 0.250 1
Na2 Na 0.750 0.750 0.750 1
Ba1 Ba 0.000 0.000 0.000 1
```

Space-group type   Fm-3m



[17]
A relaxed CdNi2HgC crystal, computed with GGA-PBE.

```
data_CdNi2HgC
_symmetry_space_group_name_H-M 'P 1'
_symmetry_Int_Tables_number 1
_symmetry_space_group_name_Hall 'P 1'
_cell_length_a 4.760
_cell_length_b 5.222
_cell_length_c 4.760
_cell_angle_alpha 90.00
_cell_angle_beta 90.00
_cell_angle_gamma 90.00
loop_
_atom_site_label
_atom_site_type_symbol
_atom_site_fract_x
_atom_site_fract_y
_atom_site_fract_z
_atom_site_occupancy
Hg1 Hg 0.000 0.000 0.000 1
C1 C 0.500 0.500 0.500 1
Cd1 Cd 0.000 0.500 0.000 1
Ni1 Ni 0.500 0.000 0.000 1
Ni2 Ni 0.000 0.000 0.500 1
```

Space-group type   P4/mmm



[18]
A relaxed Pm4ZnCuRu2 crystal, computed with GGA-PBE.

```
data_Pm4ZnCuRu2
_symmetry_space_group_name_H-M 'P 1'
_symmetry_Int_Tables_number 1
_symmetry_space_group_name_Hall 'P 1'
_cell_length_a 5.006
_cell_length_b 5.006
_cell_length_c 8.729
_cell_angle_alpha 73.34
_cell_angle_beta 73.34
_cell_angle_gamma 60.00
loop_
_atom_site_label
_atom_site_type_symbol
_atom_site_fract_x
_atom_site_fract_y
_atom_site_fract_z
_atom_site_occupancy
Ru1 Ru 0.251 0.251 0.247 1
Ru2 Ru 0.749 0.749 0.753 1
Cu1 Cu 0.500 0.500 0.500 1
Pm1 Pm 0.126 0.126 0.622 1
Pm2 Pm 0.874 0.874 0.378 1
Pm3 Pm 0.623 0.623 0.131 1
Pm4 Pm 0.377 0.377 0.869 1
Zn1 Zn 0.000 0.000 0.000 1
```

Space-group type   R-3m



[19]
A relaxed NaPmPb4 crystal, computed with GGA-PBE.

```
data_NaPmPb4
_symmetry_space_group_name_H-M 'P 1'
_symmetry_Int_Tables_number 1
_symmetry_space_group_name_Hall 'P 1'
_cell_length_a 6.481
_cell_length_b 6.481
_cell_length_c 6.481
_cell_angle_alpha 60.00
_cell_angle_beta 60.00
_cell_angle_gamma 60.00
loop_
_atom_site_label
_atom_site_type_symbol
_atom_site_fract_x
_atom_site_fract_y
_atom_site_fract_z
_atom_site_occupancy
Pm1 Pm 0.000 0.000 0.000 1
Pb1 Pb 0.626 0.626 0.626 1
Pb2 Pb 0.626 0.123 0.626 1
Pb3 Pb 0.123 0.626 0.626 1
Pb4 Pb 0.626 0.626 0.123 1
Na1 Na 0.250 0.250 0.250 1
```

Space-group type   F-43m



[20]
A relaxed LiDyBi3 crystal, computed with GGA-PBE.

```
data_LiDyBi3
_symmetry_space_group_name_H-M 'P 1'
_symmetry_Int_Tables_number 1
_symmetry_space_group_name_Hall 'P 1'
_cell_length_a 6.508
_cell_length_b 6.279
_cell_length_c 13.712
_cell_angle_alpha 90.00
_cell_angle_beta 90.00
_cell_angle_gamma 90.00
loop_
_atom_site_label
_atom_site_type_symbol
_atom_site_fract_x
_atom_site_fract_y
_atom_site_fract_z
_atom_site_occupancy
Dy1 Dy 0.750 0.485 0.684 1
Dy2 Dy 0.750 0.985 0.316 1
Dy3 Dy 0.250 0.015 0.684 1
Dy4 Dy 0.250 0.515 0.316 1
Bi1 Bi 0.750 0.495 0.260 1
Bi2 Bi 0.750 0.801 0.077 1
Bi3 Bi 0.250 0.199 0.923 1
Bi4 Bi 0.250 0.699 0.077 1
Bi5 Bi 0.250 0.505 0.740 1
Bi6 Bi 0.750 0.995 0.740 1
Bi7 Bi 0.500 0.750 0.505 1
Bi8 Bi 0.500 0.250 0.495 1
Bi9 Bi 0.000 0.750 0.505 1
Bi10 Bi 0.750 0.301 0.923 1
Bi11 Bi 0.000 0.250 0.495 1
Bi12 Bi 0.250 0.005 0.260 1
Li1 Li 0.000 0.750 0.887 1
Li2 Li 0.500 0.750 0.887 1
Li3 Li 0.500 0.250 0.113 1
Li4 Li 0.000 0.250 0.113 1
```

Space-group type   Pbcm



no.,DFT total energy (eV/cell)
1,-18.436
2,-29.652
3,-31.310
4,-17.720
5,-42.019
6,-34.700
7,-83.123
8,-142.138
9,-26.041
10,-75.339
11,-26.519
12,-69.096
13,-29.754
14,-15.860
15,-24.331
16,-19.668
17,-10.370
18,-44.689
19,-21.809
20,-81.965